First-principles (PBE) data for LaTc3Ge after structural relaxation, as listed in Alexandria via LeMat-Bulk.

a b c (Å): 4.845 4.845 4.845
angles (deg): 90.00 90.00 90.00
Sites, in units of the cell vectors:
Ge 0.500 0.500 0.500
Tc 0.000 0.500 0.000
Tc 0.000 0.000 0.500
Tc 0.500 0.000 0.000
La 0.000 0.000 0.000

Computed properties:
The calculation puts the offset from the most stable computed form at 1516 meV/atom.

First-principles (PBE) data for Zr4ZnCd after structural relaxation, as listed in Alexandria via LeMat-Bulk.

a b c (Å): 3.195 3.195 12.669
angles (deg): 90.00 90.00 90.00
Sites, in units of the cell vectors:
Zr 0.500 0.500 0.178
Zr 0.000 0.000 0.645
Zr 0.000 0.000 0.355
Zr 0.500 0.500 0.822
Zn 0.500 0.500 0.500
Cd 0.000 0.000 0.000

Computed properties:
The calculation puts the offset from the most stable computed form at 0 meV/atom.

First-principles (PBE) data for Li5Ca2Mg2Zn after structural relaxation, as listed in Alexandria via LeMat-Bulk.

a b c (Å): 3.571 11.672 11.672
angles (deg): 90.00 90.00 90.00
Sites, in units of the cell vectors:
Li 0.500 0.174 0.052
Li 0.500 0.826 0.948
Li 0.500 0.052 0.826
Li 0.500 0.674 0.448
Li 0.500 0.948 0.174
Li 0.500 0.326 0.552
Li 0.500 0.552 0.674
Li 0.500 0.448 0.326
Li 0.500 0.500 0.000
Li 0.500 0.000 0.500
Ca 0.000 0.671 0.171
Ca 0.000 0.329 0.829
Ca 0.000 0.171 0.329
Ca 0.000 0.829 0.671
Mg 0.000 0.129 0.629
Mg 0.000 0.871 0.371
Mg 0.000 0.629 0.871
Mg 0.000 0.371 0.129
Zn 0.000 0.000 0.000
Zn 0.000 0.500 0.500

Computed properties:
Its final energy is -1.7885 eV/atom.

First-principles (PBE) data for Tb6ErSc6 after structural relaxation, as listed in Alexandria via LeMat-Bulk.

a b c (Å): 6.418 6.418 10.845
angles (deg): 90.00 90.00 120.00
Sites, in units of the cell vectors:
Tb 0.000 0.000 0.663
Tb 0.000 0.000 0.337
Tb 0.333 0.667 0.000
Tb 0.667 0.333 0.000
Tb 0.333 0.667 0.500
Tb 0.667 0.333 0.500
Er 0.000 0.000 0.000
Sc 0.000 0.500 0.758
Sc 0.500 0.000 0.758
Sc 0.500 0.500 0.758
Sc 0.500 0.000 0.242
Sc 0.000 0.500 0.242
Sc 0.500 0.500 0.242

Computed properties:
Its final energy is -5.1818 eV/atom.

First-principles (PBE) data for NiBiBr6 after structural relaxation, as listed in Alexandria via LeMat-Bulk.

a b c (Å): 6.673 6.672 7.228
angles (deg): 62.51 62.51 60.01
Sites, in units of the cell vectors:
Ni 0.000 0.000 0.000
Bi 0.500 0.500 0.500
Br 0.061 0.390 0.769
Br 0.780 0.061 0.769
Br 0.610 0.220 0.231
Br 0.220 0.939 0.231
Br 0.939 0.610 0.231
Br 0.390 0.780 0.769

Computed properties:
Its final energy is -2.8375 eV/atom.

First-principles (PBE) data for TaTlCl2 after structural relaxation, as listed in Alexandria via LeMat-Bulk.

a b c (Å): 9.015 9.015 9.015
angles (deg): 160.49 153.41 33.20
Sites, in units of the cell vectors:
Tl 0.346 0.846 0.500
Cl 0.991 0.991 0.000
Cl 0.637 0.137 0.500
Ta 0.526 0.526 0.000

Computed properties:
The calculation puts the offset from the most stable computed form at 425 meV/atom.

First-principles (PBE) data for CeHoTeS after structural relaxation, as listed in Alexandria via LeMat-Bulk.

a b c (Å): 4.002 4.002 7.970
angles (deg): 90.00 104.54 120.00
Sites, in units of the cell vectors:
Ce 0.981 0.389 0.385
Ho 0.289 0.543 0.847
Te 0.126 0.961 0.102
S 0.481 0.139 0.635

Computed properties:
Its final energy is -5.9545 eV/atom.

First-principles (PBE) data for TbTm3Sb4 after structural relaxation, as listed in Alexandria via LeMat-Bulk.

a b c (Å): 6.152 6.152 6.152
angles (deg): 90.00 90.00 90.00
Sites, in units of the cell vectors:
Tb 0.000 0.000 0.000
Tm 0.000 0.500 0.500
Tm 0.500 0.000 0.500
Tm 0.500 0.500 0.000
Sb 0.500 0.000 0.000
Sb 0.000 0.500 0.000
Sb 0.000 0.000 0.500
Sb 0.500 0.500 0.500

Computed properties:
Its final energy is -5.4075 eV/atom.

Quick rundown of DOS(E_F), same order as above: 9.1 5.6 5.5 27.1 4.1 3.2 7.0 0.5 states/eV/f.u.